Entry 1:
This record from Alexandria via LeMat-Bulk describes CaTaSi2 after structural relaxation. The functional is PBE.

Properties
raw total energy = -25.2 eV/f.u.
ρ = 5.62 g/cm³
ΔE_f (raw) = -0.1333 eV/atom
crystal system = trigonal
M_tot = 0.000 μB per formula unit
energy relative to the lowest polymorph listed for this composition = 118 meV per atom

a = 3.5636 Å, b = 3.5636 Å, c = 22.3568 Å
α = 90.00°, β = 90.00°, γ = 120.00°
Space group R-3m (No. 166, hexagonal axes)
One atom of each set of equivalent atoms:
Ca1 0.0000 0.0000 0.0000 [3 per cell]
Ta1 0.0000 0.0000 0.5000 [3 per cell]
Si1 0.0000 0.0000 0.2386 [6 per cell]



Entry 2:
This record from Alexandria via LeMat-Bulk describes KNaN2 after structural relaxation. The functional is PBE.

Properties
raw total energy = -13.5 eV/f.u.
ρ = 2.12 g/cm³
ΔE_f (raw) = 1.3911 eV/atom
crystal system = cubic
M_tot = 4.000 μB per formula unit
energy relative to the lowest polymorph listed for this composition = 154 meV per atom

a = 6.556 Å, b = 6.556 Å, c = 6.556 Å
α = 90.00°, β = 90.00°, γ = 90.00°
Space group Fm-3m (No. 225)
One atom of each set of equivalent atoms:
K1 0.000 0.000 0.000 [4 per cell]
Na1 0.000 0.000 0.500 [4 per cell]
N1 0.250 0.250 0.250 [8 per cell]



Entry 3:
This record from Alexandria via LeMat-Bulk describes Na2Mn3Te6 after structural relaxation. The functional is PBE.

Properties
raw total energy = -53.2 eV/f.u.
ρ = 5.14 g/cm³
ΔE_f (raw) = -0.3824 eV/atom
crystal system = monoclinic
M_tot = 11.190 μB per formula unit

a = 6.846 Å, b = 11.862 Å, c = 8.101 Å
α = 90.00°, β = 106.50°, γ = 90.00°
Space group C2/m (No. 12)
One atom of each set of equivalent atoms:
Na1 0.000 0.166 0.000 [4 per cell]
Mn1 0.000 0.000 0.500 [2 per cell]
Mn2 0.000 0.332 0.500 [4 per cell]
Te1 0.234 0.167 0.701 [8 per cell]
Te2 0.234 0.500 0.698 [4 per cell]



Entry 4:
This record from Alexandria via LeMat-Bulk describes BaTbMgHg after structural relaxation. The functional is PBE.

Properties
raw total energy = -9.0 eV/f.u.
ρ = 6.76 g/cm³
crystal system = cubic
M_tot = 0.000 μB per formula unit

a = 8.000 Å, b = 8.000 Å, c = 8.000 Å
α = 90.00°, β = 90.00°, γ = 90.00°
Space group F-43m (No. 216)
One atom of each set of equivalent atoms:
Ba1 0.000 0.000 0.000 [4 per cell]
Tb1 0.000 0.000 0.500 [4 per cell]
Mg1 0.250 0.250 0.750 [4 per cell]
Hg1 0.250 0.250 0.250 [4 per cell]



Repeat the fourth record exactly.
This record from Alexandria via LeMat-Bulk describes BaTbMgHg after structural relaxation. The functional is PBE.

Properties
raw total energy = -9.0 eV/f.u.
ρ = 6.76 g/cm³
crystal system = cubic
M_tot = 0.000 μB per formula unit

a = 8.000 Å, b = 8.000 Å, c = 8.000 Å
α = 90.00°, β = 90.00°, γ = 90.00°
Space group F-43m (No. 216)
One atom of each set of equivalent atoms:
Ba1 0.000 0.000 0.000 [4 per cell]
Tb1 0.000 0.000 0.500 [4 per cell]
Mg1 0.250 0.250 0.750 [4 per cell]
Hg1 0.250 0.250 0.250 [4 per cell]